<a>
The following is a DFT calculation (GGA-PBE) of a relaxed CrI2Cl crystal.

## Properties
D(E_F) in states/eV/atom: 0.68

Geometry as POSCAR:
```
CrI2Cl
1.0
-1.969 2.391 7.004
1.969 -2.391 7.004
1.969 2.391 -7.004
Cr I Cl
1 2 1
Cartesian
0.000 0.000 0.000
1.969 0.000 1.900
0.000 2.391 5.103
0.000 2.391 0.000
```

<b>
The following is a DFT calculation (GGA-PBE) of a relaxed CrI2Cl crystal.

## Properties
D(E_F) in states/eV/atom: 0.69

Geometry as POSCAR:
```
CrI2Cl
1.0
0.000 3.709 3.709
3.709 0.000 3.709
3.709 3.709 0.000
Cr I Cl
1 2 1
Cartesian
0.000 0.000 0.000
1.854 1.854 1.854
5.563 5.563 5.563
3.709 3.709 3.709
```

The least stable of the structures above is <b>, whereas <a> is the most stable.